1.
La2TbErSe6 PBE-GGA relaxed; final energy = -5.912 eV/atom; space-group type = No. 146
1.0
3.717 2.146 6.483
-3.717 2.146 6.483
0.000 -4.292 6.483
La Tb Er Se
2 1 1 6
Direct
0.000 0.000 0.000 La
0.500 0.500 0.500 La
0.295 0.295 0.295 Tb
0.796 0.796 0.796 Er
0.077 0.675 0.422 Se
0.172 0.581 0.918 Se
0.422 0.077 0.675 Se
0.581 0.918 0.172 Se
0.675 0.422 0.077 Se
0.918 0.172 0.581 Se


2.
LaTb2Er3Se6 PBE-GGA relaxed; final energy = -5.837 eV/atom; space-group type = No. 12
1.0
3.528 -6.147 0.000
3.528 6.147 0.000
-2.372 0.000 6.755
La Tb Er Se
1 2 3 6
Direct
0.000 0.000 0.000 La
0.333 0.667 0.000 Tb
0.667 0.333 0.000 Tb
0.162 0.838 0.500 Er
0.500 0.500 0.500 Er
0.838 0.162 0.500 Er
0.088 0.431 0.263 Se
0.257 0.257 0.742 Se
0.431 0.088 0.263 Se
0.569 0.912 0.737 Se
0.743 0.743 0.258 Se
0.912 0.569 0.737 Se


3.
La2TbErSe4 PBE-GGA relaxed; final energy = -5.997 eV/atom; space-group type = No. 10
1.0
7.182 0.000 0.000
0.000 4.118 0.000
-2.370 0.000 7.027
La Tb Er Se
2 1 1 4
Direct
0.000 0.000 0.000 La
0.500 0.500 0.000 La
0.000 0.500 0.500 Tb
0.500 0.000 0.500 Er
0.246 0.000 0.731 Se
0.260 0.500 0.271 Se
0.740 0.500 0.729 Se
0.754 0.000 0.269 Se


4.
LaTb4Er3Se8 PBE-GGA relaxed; final energy = -5.822 eV/atom; space-group type = No. 166
1.0
4.107 2.371 6.693
-4.107 2.371 6.693
0.000 -4.742 6.693
La Tb Er Se
1 4 3 8
Direct
0.000 0.000 0.000 La
0.000 0.000 0.500 Tb
0.000 0.500 0.000 Tb
0.500 0.000 0.000 Tb
0.500 0.500 0.500 Tb
0.000 0.500 0.500 Er
0.500 0.000 0.500 Er
0.500 0.500 0.000 Er
0.252 0.252 0.252 Se
0.255 0.255 0.740 Se
0.255 0.740 0.255 Se
0.260 0.745 0.745 Se
0.740 0.255 0.255 Se
0.745 0.260 0.745 Se
0.745 0.745 0.260 Se
0.748 0.748 0.748 Se